Compound: Nd3Dy7Ho2
Source: the Alexandria database
Functional: PBE-GGA
Structure: optimized geometry

Unit cell a=11.9326 b=11.9326 c=11.9326 alpha=31.63 beta=31.63 gamma=31.63
With the nearest neighbours (Å) after each atom.
Atoms (fractional coordinates):
Nd 0.0000 0.0000 0.0000  6 Ho 3.76
Nd 0.1556 0.1556 0.1556  12 Dy 3.70-4.07, 3 Nd 3.83
Nd 0.8444 0.8444 0.8444  12 Dy 3.70-4.07, 3 Nd 3.83
Dy 0.0827 0.5843 0.5843  5 Dy 3.24-3.39, 2 Ho 3.40-3.41
Dy 0.4157 0.4157 0.9173  5 Dy 3.24-3.39, 2 Ho 3.40-3.41
Dy 0.4157 0.9173 0.4157  5 Dy 3.24-3.39, 2 Ho 3.40-3.41
Dy 0.5000 0.5000 0.5000  6 Dy 3.39, 6 Nd 3.77
Dy 0.5843 0.0827 0.5843  5 Dy 3.24-3.39, 2 Ho 3.40-3.41
Dy 0.5843 0.5843 0.0827  5 Dy 3.24-3.39, 2 Ho 3.40-3.41
Dy 0.9173 0.4157 0.4157  5 Dy 3.24-3.39, 2 Ho 3.40-3.41
Ho 0.3333 0.3333 0.3333  6 Dy 3.40-3.41, 3 Nd 3.76, 3 Ho 3.76
Ho 0.6667 0.6667 0.6667  6 Dy 3.40-3.41, 3 Nd 3.76, 3 Ho 3.76

Computed properties:
space-group type = No. 166
formation enthalpy at 0 K = 288 meV per atom
magnetic moment = 0.00 μB/f.u.
VASP energy = -4.3514 eV per atom
ΔE to the lowest computed polymorph = 202 meV/atom

***

Compound: Tb3Y4Sc2
Source: the Alexandria database
Functional: PBE-GGA
Structure: optimized geometry

Unit cell a=9.9609 b=9.9609 c=5.9114 alpha=96.19 beta=96.19 gamma=70.71
With the nearest neighbours (Å) after each atom.
Atoms (fractional coordinates):
Tb 0.1081 0.8919 0.7500  6 Sc 3.25-3.52, 4 Y 3.49-3.59
Tb 0.1846 0.4714 0.9207  1 Sc 3.15, 6 Y 3.41-3.51
Tb 0.4714 0.1846 0.4207  1 Sc 3.15, 6 Y 3.41-3.51
Tb 0.5286 0.8154 0.5793  1 Sc 3.15, 6 Y 3.41-3.51
Tb 0.8154 0.5286 0.0793  1 Sc 3.15, 6 Y 3.41-3.51
Tb 0.8919 0.1081 0.2500  6 Sc 3.25-3.52, 4 Y 3.49-3.59
Y 0.1087 0.3228 0.3803  3 Sc 3.31-3.63, 5 Tb 3.41-3.49, 2 Y 3.61-3.70
Y 0.3170 0.5619 0.4701  1 Sc 3.29, 4 Tb 3.42-3.59, 4 Y 3.43-3.62
Y 0.3228 0.1087 0.8803  3 Sc 3.31-3.63, 5 Tb 3.41-3.49, 2 Y 3.61-3.70
Y 0.4381 0.6830 0.0299  1 Sc 3.29, 4 Tb 3.42-3.59, 4 Y 3.43-3.62
Y 0.5619 0.3170 0.9701  1 Sc 3.29, 4 Tb 3.42-3.59, 4 Y 3.43-3.62
Y 0.6772 0.8913 0.1197  3 Sc 3.31-3.63, 5 Tb 3.41-3.49, 2 Y 3.61-3.70
Y 0.6830 0.4381 0.5299  1 Sc 3.29, 4 Tb 3.42-3.59, 4 Y 3.43-3.62
Y 0.8913 0.6772 0.6197  3 Sc 3.31-3.63, 5 Tb 3.41-3.49, 2 Y 3.61-3.70
Sc 0.0299 0.7624 0.1909  4 Tb 3.15-3.52, 3 Y 3.29-3.32, 1 Sc 3.35
Sc 0.2376 0.9701 0.3091  4 Tb 3.15-3.52, 3 Y 3.29-3.32, 1 Sc 3.35
Sc 0.7624 0.0299 0.6909  4 Tb 3.15-3.52, 3 Y 3.29-3.32, 1 Sc 3.35
Sc 0.9701 0.2376 0.8091  4 Tb 3.15-3.52, 3 Y 3.29-3.32, 1 Sc 3.35

Computed properties:
space-group type = No. 15
formation enthalpy at 0 K = 108 meV per atom
magnetic moment = 0.00 μB/f.u.
VASP energy = -5.7150 eV per atom
ΔE to the lowest computed polymorph = 9 meV/atom

***

Compound: SmIn2Hg5
Source: the Alexandria database
Functional: PBE-GGA
Structure: optimized geometry

Unit cell a=9.4640 b=9.4640 c=9.4640 alpha=150.64 beta=150.64 gamma=42.00
With the nearest neighbours (Å) after each atom.
Atoms (fractional coordinates):
Sm 0.0000 0.0000 0.0000  12 Hg 3.27-3.39
In 0.2434 0.2434 0.0000  8 Hg 3.17-3.33, 4 In 3.40
In 0.7566 0.7566 0.0000  8 Hg 3.17-3.33, 4 In 3.40
Hg 0.1260 0.6260 0.5000  4 In 3.17-3.33, 6 Hg 3.27-3.39, 2 Sm 3.27
Hg 0.3740 0.8740 0.5000  4 In 3.17-3.33, 6 Hg 3.27-3.39, 2 Sm 3.27
Hg 0.5000 0.5000 0.0000  8 Hg 3.27, 4 Sm 3.39
Hg 0.6260 0.1260 0.5000  4 In 3.17-3.33, 6 Hg 3.27-3.39, 2 Sm 3.27
Hg 0.8740 0.3740 0.5000  4 In 3.17-3.33, 6 Hg 3.27-3.39, 2 Sm 3.27

Computed properties:
space-group type = No. 139
formation enthalpy at 0 K = -201 meV per atom
magnetic moment = 0.00 μB/f.u.
VASP energy = -1.6645 eV per atom
ΔE to the lowest computed polymorph = 0 meV/atom

***

Compound: Nd8SiIr3Br4
Source: the Alexandria database
Functional: PBE-GGA
Structure: optimized geometry

Unit cell a=9.1020 b=9.1020 c=9.1020 alpha=55.20 beta=55.20 gamma=55.20
With the nearest neighbours (Å) after each atom.
Atoms (fractional coordinates):
Nd 0.2216 0.7378 0.7378  2 Ir 2.84, 1 Si 2.94
Nd 0.2328 0.2328 0.2328  3 Ir 2.87
Nd 0.2622 0.2622 0.7784  2 Ir 2.84, 1 Si 2.94
Nd 0.2622 0.7784 0.2622  2 Ir 2.84, 1 Si 2.94
Nd 0.7378 0.2216 0.7378  2 Ir 2.84, 1 Si 2.94
Nd 0.7378 0.7378 0.2216  2 Ir 2.84, 1 Si 2.94
Nd 0.7672 0.7672 0.7672  3 Ir 2.87
Nd 0.7784 0.2622 0.2622  2 Ir 2.84, 1 Si 2.94
Si 0.5000 0.5000 0.5000  6 Nd 2.94
Ir 0.0000 0.0000 0.5000  6 Nd 2.84-2.87
Ir 0.0000 0.5000 0.0000  6 Nd 2.84-2.87
Ir 0.5000 0.0000 0.0000  6 Nd 2.84-2.87
Br 0.0000 0.0000 0.0000  6 Nd 3.31
Br 0.0000 0.5000 0.5000  6 Nd 3.36-3.40
Br 0.5000 0.0000 0.5000  6 Nd 3.36-3.40
Br 0.5000 0.5000 0.0000  6 Nd 3.36-3.40

Computed properties:
space-group type = No. 166
magnetic moment = 0.00 μB/f.u.
formation energy from raw total energies = -16.737 eV/f.u.
VASP energy = -5.8486 eV per atom

***

Compound: Y2CoAu
Source: the Alexandria database
Functional: PBE-GGA
Structure: optimized geometry

Unit cell a=6.8655 b=6.8655 c=6.8655 alpha=36.45 beta=36.45 gamma=36.45
With the nearest neighbours (Å) after each atom.
Atoms (fractional coordinates):
Y 0.0000 0.0000 0.0000  3 Au 3.02, 3 Co 3.05
Y 0.1815 0.1815 0.1815  3 Co 3.01, 3 Au 3.04
Co 0.7589 0.7589 0.7589  3 Au 2.48
Au 0.4230 0.4230 0.4230  3 Co 2.48

Computed properties:
space-group type = No. 160
formation enthalpy at 0 K = -211 meV per atom
magnetic moment = 0.92 μB/f.u.
VASP energy = -6.0390 eV per atom

***

Compound: Na2BeN
Source: the Alexandria database
Functional: PBE-GGA
Structure: optimized geometry

Unit cell a=7.2739 b=7.2739 c=7.2739 alpha=92.53 beta=92.53 gamma=155.73
With the nearest neighbours (Å) after each atom.
Atoms (fractional coordinates):
Na 0.3750 0.1915 0.3165  2 N 2.63, 2 Be 2.84
Na 0.8085 0.1250 0.1835  2 N 2.63, 2 Be 2.84
Na 0.8750 0.0585 0.6835  2 N 2.63, 2 Be 2.84
Na 0.9415 0.6250 0.8165  2 N 2.63, 2 Be 2.84
Be 0.2500 0.7500 0.5000  2 N 1.53
Be 0.5000 0.5000 0.0000  2 N 1.53
N 0.0000 0.0000 0.0000  2 Be 1.53
N 0.7500 0.2500 0.5000  2 Be 1.53

Computed properties:
space-group type = No. 122
magnetic moment = 0.00 μB/f.u.
formation energy from raw total energies = -1.062 eV/f.u.
VASP energy = -3.9379 eV per atom
ΔE to the lowest computed polymorph = 0 meV/atom

***

Compound: LaNdDy2Th
Source: the Alexandria database
Functional: PBE-GGA
Structure: optimized geometry

Unit cell a=8.7251 b=6.5317 c=6.4207 alpha=90.00 beta=102.59 gamma=90.00
With the nearest neighbours (Å) after each atom.
Atoms (fractional coordinates):
La 0.0000 0.0000 0.0000  2 La 3.21, 2 Th 3.37, 2 Dy 3.50
La 0.0000 0.0000 0.5000  2 La 3.21, 2 Th 3.37, 2 Dy 3.50
Nd 0.5000 0.1641 0.2500  8 Dy 3.61-3.82, 2 Nd 3.86
Nd 0.5000 0.8359 0.7500  8 Dy 3.61-3.82, 2 Nd 3.86
Dy 0.3146 0.3331 0.6813  1 Dy 3.16, 2 Th 3.19-3.54, 1 La 3.50
Dy 0.3146 0.6669 0.1813  1 Dy 3.16, 2 Th 3.19-3.54, 1 La 3.50
Dy 0.6854 0.3331 0.8187  1 Dy 3.16, 2 Th 3.19-3.54, 1 La 3.50
Dy 0.6854 0.6669 0.3187  1 Dy 3.16, 2 Th 3.19-3.54, 1 La 3.50
Th 0.0000 0.4540 0.2500  4 Dy 3.19-3.54, 2 Th 3.27, 2 La 3.37
Th 0.0000 0.5460 0.7500  4 Dy 3.19-3.54, 2 Th 3.27, 2 La 3.37

Computed properties:
space-group type = No. 13
formation enthalpy at 0 K = 296 meV per atom
magnetic moment = 0.00 μB/f.u.
VASP energy = -4.9682 eV per atom

***

Compound: CuC3
Source: the Alexandria database
Functional: PBE-GGA
Structure: optimized geometry

Unit cell a=2.8127 b=2.8127 c=4.2542 alpha=90.00 beta=90.00 gamma=90.00
With the nearest neighbours (Å) after each atom.
Atoms (fractional coordinates):
Cu 0.0000 0.0000 0.0000  2 C 2.13
C 0.0000 0.0000 0.5000  8 C 2.10, 2 Cu 2.13
C 0.5000 0.5000 0.3386  1 C 1.37
C 0.5000 0.5000 0.6614  1 C 1.37

Computed properties:
space-group type = No. 123
formation enthalpy at 0 K = 2473 meV per atom
magnetic moment = 0.00 μB/f.u.
VASP energy = -5.4693 eV per atom
ΔE to the lowest computed polymorph = 1872 meV/atom

***

Compound: Mg2CdIn4
Source: the Alexandria database
Functional: PBE-GGA
Structure: optimized geometry

Unit cell a=6.2862 b=6.2862 c=4.5408 alpha=90.00 beta=90.00 gamma=94.41
With the nearest neighbours (Å) after each atom.
Atoms (fractional coordinates):
Mg 0.2154 0.7846 0.0000  2 Cd 3.02, 8 In 3.10-3.30
Mg 0.7846 0.2154 0.0000  2 Cd 3.02, 8 In 3.10-3.30
Cd 0.0000 0.0000 0.5000  4 Mg 3.02, 4 In 3.14
In 0.0000 0.5000 0.5000  4 Mg 3.13, 2 Cd 3.14, 4 In 3.27
In 0.3079 0.3079 0.0000  4 Mg 3.10-3.30, 5 In 3.27-3.28
In 0.5000 0.0000 0.5000  4 Mg 3.13, 2 Cd 3.14, 4 In 3.27
In 0.6921 0.6921 0.0000  4 Mg 3.10-3.30, 5 In 3.27-3.28

Computed properties:
space-group type = No. 65
formation enthalpy at 0 K = 1 meV per atom
magnetic moment = 0.00 μB/f.u.
VASP energy = -2.1500 eV per atom
ΔE to the lowest computed polymorph = 0 meV/atom

***

Compound: K3NdNb2O9
Source: the Alexandria database
Functional: PBE-GGA
Structure: optimized geometry

Unit cell a=6.0264 b=6.0264 c=7.4926 alpha=90.00 beta=90.00 gamma=120.00
With the nearest neighbours (Å) after each atom.
Atoms (fractional coordinates):
K 0.0000 0.0000 0.0000  12 O 2.95-3.01
K 0.3333 0.6667 0.6847  12 O 2.93-3.26
K 0.6667 0.3333 0.3153  12 O 2.93-3.26
Nd 0.0000 0.0000 0.5000  6 O 2.35
Nb 0.3333 0.6667 0.1715  3 O 1.92
Nb 0.6667 0.3333 0.8285  3 O 1.92
O 0.0000 0.5000 0.0000  2 Nb 2.16
O 0.1772 0.3543 0.3073  1 Nb 1.92
O 0.1772 0.8228 0.3073  1 Nb 1.92
O 0.3543 0.1772 0.6927  1 Nb 1.92
O 0.5000 0.0000 0.0000  2 Nb 2.16
O 0.5000 0.5000 0.0000  2 Nb 2.16
O 0.6457 0.8228 0.3073  1 Nb 1.92
O 0.8228 0.1772 0.6927  1 Nb 1.92
O 0.8228 0.6457 0.6927  1 Nb 1.92

Computed properties:
space-group type = No. 164
magnetic moment = 2.07 μB/f.u.
formation energy from raw total energies = -33.842 eV/f.u.
VASP energy = -7.1110 eV per atom